The following is a DFT calculation (PBE-GGA) of a relaxed IrSeN3 crystal.

The structure belongs to space group Pm-3m (No. 221); the cell edges are 3.728, 3.728 and 3.728 Å and the angles 90.00°, 90.00° and 90.00°. Symmetry generates all atoms from Ir at (0.000, 0.000, 0.000), Se at (0.500, 0.500, 0.500) and N at (0.000, 0.500, 0.500).

As for the total magnetic moment: 0.0 Bohr magnetons per cell. The value obtained for the energy relative to the elements, uncorrected is 2.3708 eV per atom.



The following is a DFT calculation (PBE-GGA) of a relaxed IrSe2N crystal.

The structure belongs to space group P1 (No. 1); the cell edges are 5.846, 6.319 and 6.765 Å and the angles 105.96°, 101.42° and 117.37°. Symmetry generates all atoms from Ir at (0.000, 0.000, 0.000), Ir at (0.426, 0.810, 0.251), Se at (0.429, 0.907, 0.626), Se at (0.464, 0.404, 0.154), Se at (0.512, 0.640, 0.909), Se at (0.914, 0.054, 0.500), N at (0.166, 0.866, 0.131) and N at (0.811, 0.045, 0.743).

As for the total magnetic moment: 0.0 Bohr magnetons per cell. The value obtained for the energy relative to the elements, uncorrected is 0.3883 eV per atom.



Which value of energy relative to the elements, uncorrected does entry 2 give?
0.3883 eV per atom